Record 1
Density functional theory data (PBE) for crystalline NaBe2AgCl6 at its relaxed geometry.

For the uncorrected formation energy, the calculation gives -12.79 eV/f.u. For the calculated total energy, the calculation gives -35.49 eV/f.u. The volume is 22.6 Å³ per atom. The value obtained for the magnetic moment is 0.00 μB/f.u.

a = 12.3471 Å, b = 11.9926 Å, c = 6.2599 Å
α = 90.00°, β = 103.21°, γ = 90.00°
Closest atoms and distances in Å follow each position.
Space group C2/c (No. 15)
Unique sites:
Na 0.0000 0.2068 0.2500 [4 per cell]  6 Cl 2.72-3.03
Be 0.2096 0.0816 0.7871 [8 per cell]  4 Cl 1.98-2.11
Ag 0.0000 0.3897 0.7500 [4 per cell]  6 Cl 2.65-2.96
Cl 0.1234 0.4120 0.1533 [8 per cell]  1 Be 2.01
Cl 0.1392 0.2214 0.6537 [8 per cell]  1 Be 1.98
Cl 0.1527 0.0526 0.0752 [8 per cell]  2 Be 2.10-2.11


Record 2
Density functional theory data (PBE) for crystalline BeAgP2Cl at its relaxed geometry.

For the uncorrected formation energy, the calculation gives 6.51 eV/f.u. For the calculated total energy, the calculation gives -12.74 eV/f.u. The volume is 23.5 Å³ per atom. For the excess energy over the best structure of this formula in the dataset, the calculation gives 0.868 eV per atom. The value obtained for the magnetic moment is 1.25 μB/f.u.

a = 4.8009 Å, b = 4.8009 Å, c = 5.1061 Å
α = 90.00°, β = 90.00°, γ = 90.00°
Closest atoms and distances in Å follow each position.
Space group P4/mmm (No. 123)
Unique sites:
Be 0.0000 0.0000 0.0000 [1 per cell]  4 Cl 3.39, 8 P 3.50
Ag 0.5000 0.5000 0.5000 [1 per cell]  4 P 2.40, 2 Cl 2.55
P 0.0000 0.5000 0.5000 [2 per cell]  2 Ag 2.40
Cl 0.5000 0.5000 0.0000 [1 per cell]  2 Ag 2.55


Record 3
Density functional theory data (PBE) for crystalline BeAgP2Cl at its relaxed geometry.

For the uncorrected formation energy, the calculation gives 2.17 eV/f.u. For the calculated total energy, the calculation gives -17.08 eV/f.u. The volume is 23.6 Å³ per atom. For the excess energy over the best structure of this formula in the dataset, the calculation gives 0.000 eV per atom. The value obtained for the magnetic moment is 0.00 μB/f.u.

a = 4.0021 Å, b = 4.0021 Å, c = 7.3598 Å
α = 90.00°, β = 90.00°, γ = 90.00°
Closest atoms and distances in Å follow each position.
Space group P4/mmm (No. 123)
Unique sites:
Be 0.0000 0.0000 0.0000 [1 per cell]  4 P 2.00
Ag 0.5000 0.5000 0.5000 [1 per cell]  4 Cl 2.83
P 0.0000 0.5000 0.0000 [2 per cell]  2 Be 2.00
Cl 0.0000 0.0000 0.5000 [1 per cell]  4 Ag 2.83


Record 4
Density functional theory data (PBE) for crystalline BeAgPCl2 at its relaxed geometry.

For the uncorrected formation energy, the calculation gives 4.29 eV/f.u. For the calculated total energy, the calculation gives -11.39 eV/f.u. The volume is 25.1 Å³ per atom. For the excess energy over the best structure of this formula in the dataset, the calculation gives 0.746 eV per atom. The value obtained for the magnetic moment is 1.40 μB/f.u.

a = 5.0257 Å, b = 5.0257 Å, c = 4.9719 Å
α = 90.00°, β = 90.00°, γ = 90.00°
Closest atoms and distances in Å follow each position.
Space group P4/mmm (No. 123)
Unique sites:
Be 0.0000 0.0000 0.0000 [1 per cell]  8 Cl 3.53, 4 P 3.55
Ag 0.5000 0.5000 0.5000 [1 per cell]  2 P 2.49, 4 Cl 2.51
P 0.5000 0.5000 0.0000 [1 per cell]  2 Ag 2.49
Cl 0.0000 0.5000 0.5000 [2 per cell]  2 Ag 2.51


Record 5
Density functional theory data (PBE) for crystalline BeAgPCl2 at its relaxed geometry.

For the uncorrected formation energy, the calculation gives 0.56 eV/f.u. For the calculated total energy, the calculation gives -15.12 eV/f.u. The volume is 22.2 Å³ per atom. For the excess energy over the best structure of this formula in the dataset, the calculation gives 0.000 eV per atom. The value obtained for the magnetic moment is 1.20 μB/f.u.

a = 4.1012 Å, b = 4.1012 Å, c = 6.6070 Å
α = 90.00°, β = 90.00°, γ = 90.00°
Closest atoms and distances in Å follow each position.
Space group P4/mmm (No. 123)
Unique sites:
Be 0.0000 0.0000 0.0000 [1 per cell]  4 Cl 2.05
Ag 0.5000 0.5000 0.5000 [1 per cell]  4 P 2.90
P 0.0000 0.0000 0.5000 [1 per cell]  4 Ag 2.90
Cl 0.0000 0.5000 0.0000 [2 per cell]  2 Be 2.05


Record 6
Density functional theory data (PBE) for crystalline Rb2BeAgCl6 at its relaxed geometry.

For the uncorrected formation energy, the calculation gives -11.92 eV/f.u. For the calculated total energy, the calculation gives -31.51 eV/f.u. The volume is 26.1 Å³ per atom. The value obtained for the magnetic moment is 0.00 μB/f.u.

a = 7.0246 Å, b = 7.0246 Å, c = 10.5967 Å
α = 90.00°, β = 90.00°, γ = 90.00°
Closest atoms and distances in Å follow each position.
Space group I4/mmm (No. 139)
Unique sites:
Rb 0.0000 0.5000 0.2500 [4 per cell]  12 Cl 3.52-3.65
Be 0.0000 0.0000 0.0000 [2 per cell]  4 Cl 2.16
Ag 0.0000 0.0000 0.5000 [2 per cell]  2 Cl 2.41
Cl 0.0000 0.0000 0.2725 [4 per cell]  1 Ag 2.41
Cl 0.2177 0.2177 0.0000 [8 per cell]  1 Be 2.16